# 1
# PBE-GGA Ce2ZrCr2C4, optimized geometry
# DFT formation energy ... -2.1 eV per formula unit
# D(E_F) ... 0.808 states/eV/atom
# Total magnetization ... 0.0 μB/f.u.
# SG ... C2/m, No. 12
data_Ce2ZrCr2C4
_chemical_formula_sum 'Ce2 Zr1 Cr2 C4'
_symmetry_space_group_name_H-M 'P 1'
_symmetry_Int_Tables_number 1
_cell_length_a 3.3201
_cell_length_b 6.6171
_cell_length_c 5.9998
_cell_angle_alpha 106.91
_cell_angle_beta 90.00
_cell_angle_gamma 104.53
loop_
_symmetry_equiv_pos_as_xyz
'x,y,z'
loop_
_atom_site_label
_atom_site_type_symbol
_atom_site_fract_x
_atom_site_fract_y
_atom_site_fract_z
Ce1 Ce 0.8714 0.7428 0.4644
Ce2 Ce 0.1286 0.2572 0.5356
Zr1 Zr 0.0000 0.0000 0.0000
Cr1 Cr 0.3198 0.6396 0.9966
Cr2 Cr 0.6802 0.3604 0.0034
C1 C 0.7827 0.5654 0.8041
C2 C 0.2173 0.4346 0.1959
C3 C 0.4573 0.9146 0.2368
C4 C 0.5427 0.0854 0.7632

# 2
# PBE-GGA Tb11Hg9Pd4, optimized geometry
# DFT formation energy ... -15.2 eV per formula unit
# D(E_F) ... 0.769 states/eV/atom
# Total magnetization ... 0.0 μB/f.u.
# SG ... Cmmm, No. 65
data_Tb11Hg9Pd4
_chemical_formula_sum 'Tb11 Hg9 Pd4'
_symmetry_space_group_name_H-M 'P 1'
_symmetry_Int_Tables_number 1
_cell_length_a 3.6706
_cell_length_b 13.1520
_cell_length_c 13.1520
_cell_angle_alpha 112.82
_cell_angle_beta 90.00
_cell_angle_gamma 90.00
loop_
_symmetry_equiv_pos_as_xyz
'x,y,z'
loop_
_atom_site_label
_atom_site_type_symbol
_atom_site_fract_x
_atom_site_fract_y
_atom_site_fract_z
Tb1 Tb 0.0000 0.5866 0.9269
Tb2 Tb 0.0000 0.4134 0.0731
Tb3 Tb 0.0000 0.9269 0.5866
Tb4 Tb 0.0000 0.0731 0.4134
Tb5 Tb 0.0000 0.6297 0.3703
Tb6 Tb 0.0000 0.3703 0.6297
Tb7 Tb 0.0000 0.8330 0.1670
Tb8 Tb 0.0000 0.1670 0.8330
Tb9 Tb 0.0000 0.0000 0.0000
Tb10 Tb 0.0000 0.7006 0.7006
Tb11 Tb 0.0000 0.2994 0.2994
Hg1 Hg 0.5000 0.6305 0.1538
Hg2 Hg 0.5000 0.3695 0.8462
Hg3 Hg 0.5000 0.1538 0.6305
Hg4 Hg 0.5000 0.8462 0.3695
Hg5 Hg 0.5000 0.7859 0.9346
Hg6 Hg 0.5000 0.2141 0.0654
Hg7 Hg 0.5000 0.9346 0.7859
Hg8 Hg 0.5000 0.0654 0.2141
Hg9 Hg 0.5000 0.5000 0.5000
Pd1 Pd 0.5000 0.5510 0.7497
Pd2 Pd 0.5000 0.4490 0.2503
Pd3 Pd 0.5000 0.7497 0.5510
Pd4 Pd 0.5000 0.2503 0.4490

# 3
# PBE-GGA Tm2H8Rh3, optimized geometry
# D(E_F) ... 0.177 states/eV/atom
# E ... -0.356 Ry per atom
# Total magnetization ... 0.0 μB/f.u.
# SG ... C2/m, No. 12
data_Tm2H8Rh3
_chemical_formula_sum 'Tm2 H8 Rh3'
_symmetry_space_group_name_H-M 'P 1'
_symmetry_Int_Tables_number 1
_cell_length_a 4.9760
_cell_length_b 5.6349
_cell_length_c 5.4662
_cell_angle_alpha 121.03
_cell_angle_beta 108.02
_cell_angle_gamma 90.00
loop_
_symmetry_equiv_pos_as_xyz
'x,y,z'
loop_
_atom_site_label
_atom_site_type_symbol
_atom_site_fract_x
_atom_site_fract_y
_atom_site_fract_z
Tm1 Tm 0.3057 0.3021 0.6042
Tm2 Tm 0.6943 0.6979 0.3958
H1 H 0.0820 0.6300 0.2600
H2 H 0.9180 0.3700 0.7400
H3 H 0.8804 0.1054 0.2108
H4 H 0.1196 0.8946 0.7892
H5 H 0.6189 0.6855 0.7831
H6 H 0.6189 0.0976 0.7831
H7 H 0.3811 0.9024 0.2169
H8 H 0.3811 0.3145 0.2169
Rh1 Rh 0.5000 0.0000 0.0000
Rh2 Rh 0.0000 0.2549 0.0000
Rh3 Rh 0.0000 0.7451 0.0000

# 4
# PBE-GGA K3URh2Se6, optimized geometry
# D(E_F) ... 0.497 states/eV/atom
# Formation energy without anion corrections ... -870 meV/atom
# Total magnetization ... 2.5 μB/f.u.
# SG ... C2/m, No. 12
data_K3URh2Se6
_chemical_formula_sum 'K3 U1 Rh2 Se6'
_symmetry_space_group_name_H-M 'P 1'
_symmetry_Int_Tables_number 1
_cell_length_a 6.7206
_cell_length_b 6.7206
_cell_length_c 8.0529
_cell_angle_alpha 98.07
_cell_angle_beta 98.07
_cell_angle_gamma 120.00
loop_
_symmetry_equiv_pos_as_xyz
'x,y,z'
loop_
_atom_site_label
_atom_site_type_symbol
_atom_site_fract_x
_atom_site_fract_y
_atom_site_fract_z
K1 K 0.1603 0.8397 0.5000
K2 K 0.8397 0.1603 0.5000
K3 K 0.5000 0.5000 0.5000
U1 U 0.0000 0.0000 0.0000
Rh1 Rh 0.3331 0.6669 0.0000
Rh2 Rh 0.6669 0.3331 0.0000
Se1 Se 0.9367 0.5767 0.8114
Se2 Se 0.7025 0.7025 0.1868
Se3 Se 0.0633 0.4233 0.1886
Se4 Se 0.5767 0.9367 0.8114
Se5 Se 0.2975 0.2975 0.8132
Se6 Se 0.4233 0.0633 0.1886

# 5
# PBE-GGA RbTlAs2Se, optimized geometry
# D(E_F) ... 1.244 states/eV/atom
# Formation energy without anion corrections ... 1112 meV/atom
# Total magnetization ... 1.7 μB/f.u.
# Relative energy among the computed polymorphs ... 362 kJ/mol of formula units
# SG ... P4/mmm, No. 123
data_RbTlAs2Se
_chemical_formula_sum 'Rb1 Tl1 As2 Se1'
_symmetry_space_group_name_H-M 'P 1'
_symmetry_Int_Tables_number 1
_cell_length_a 5.8588
_cell_length_b 5.8588
_cell_length_c 6.0111
_cell_angle_alpha 90.00
_cell_angle_beta 90.00
_cell_angle_gamma 90.00
loop_
_symmetry_equiv_pos_as_xyz
'x,y,z'
loop_
_atom_site_label
_atom_site_type_symbol
_atom_site_fract_x
_atom_site_fract_y
_atom_site_fract_z
As1 As 0.0000 0.5000 0.0000
As2 As 0.5000 0.0000 0.0000
Tl1 Tl 0.5000 0.5000 0.5000
Se1 Se 0.0000 0.0000 0.5000
Rb1 Rb 0.0000 0.0000 0.0000

# 6
# PBE-GGA Na2HoSnO4, optimized geometry
# D(E_F) ... 0.245 states/eV/atom
# Formation energy without anion corrections ... -2085 meV/atom
# Total magnetization ... 0.0 μB/f.u.
# SG ... P2/m, No. 10
data_Na2HoSnO4
_chemical_formula_sum 'Na2 Ho1 Sn1 O4'
_symmetry_space_group_name_H-M 'P 1'
_symmetry_Int_Tables_number 1
_cell_length_a 3.4204
_cell_length_b 5.8707
_cell_length_c 5.9503
_cell_angle_alpha 109.31
_cell_angle_beta 90.00
_cell_angle_gamma 90.00
loop_
_symmetry_equiv_pos_as_xyz
'x,y,z'
loop_
_atom_site_label
_atom_site_type_symbol
_atom_site_fract_x
_atom_site_fract_y
_atom_site_fract_z
Na1 Na 0.5000 0.0000 0.5000
Na2 Na 0.0000 0.5000 0.5000
Ho1 Ho 0.5000 0.5000 0.0000
Sn1 Sn 0.0000 0.0000 0.0000
O1 O 0.5000 0.2344 0.2120
O2 O 0.5000 0.7656 0.7880
O3 O 0.0000 0.2670 0.7879
O4 O 0.0000 0.7330 0.2121